No. 1
Density functional theory data (GGA-PBE) for SrTe2Pb2 after structural relaxation.

Summary:
The value obtained for the uncorrected formation energy is -2.71 eV per formula unit. Its total magnetization is 0.00 μB/cell. The density of states at the Fermi level is 0.14 states/eV per atom. For the energy relative to the lowest polymorph listed for this composition, the calculation gives 0.0284 eV/atom.

```
data_SrTe2Pb2
_chemical_formula_sum 'Sr2 Te4 Pb4'
_cell_length_a 8.6505
_cell_length_b 8.6505
_cell_length_c 4.6704
_cell_angle_alpha 90.00
_cell_angle_beta 90.00
_cell_angle_gamma 90.00
_space_group_name_H-M_alt 'P 4/m b m'
_space_group_IT_number 127
_space_group_name_Hall '-P 4 2ab'
loop_
_atom_site_label
_atom_site_fract_x
_atom_site_fract_y
_atom_site_fract_z
Sr1 0.0000 0.0000 0.0000
Te1 0.1578 0.3422 0.0000
Pb1 0.1610 0.6610 0.5000
```

=====

No. 2
Density functional theory data (GGA-PBE) for Sr2TePb after structural relaxation.

Summary:
The value obtained for the uncorrected formation energy is -3.17 eV per formula unit. Its total magnetization is 0.00 μB/cell. The density of states at the Fermi level is 0.69 states/eV per atom. For the energy relative to the lowest polymorph listed for this composition, the calculation gives 0.2075 eV/atom.

```
data_Sr2TePb
_chemical_formula_sum 'Sr4 Te2 Pb2'
_cell_length_a 4.7740
_cell_length_b 4.7740
_cell_length_c 12.5646
_cell_angle_alpha 90.00
_cell_angle_beta 90.00
_cell_angle_gamma 90.00
_space_group_name_H-M_alt 'I -4 m 2'
_space_group_IT_number 119
_space_group_name_Hall 'I -4 -2'
loop_
_atom_site_label
_atom_site_fract_x
_atom_site_fract_y
_atom_site_fract_z
Sr1 0.0000 0.0000 0.0000
Sr2 0.0000 0.5000 0.2500
Te1 0.0000 0.5000 0.7500
Pb1 0.0000 0.0000 0.5000
```

=====

No. 3
Density functional theory data (GGA-PBE) for Sr2TePb after structural relaxation.

Summary:
The value obtained for the uncorrected formation energy is -3.12 eV per formula unit. Its total magnetization is 0.00 μB/cell. The density of states at the Fermi level is 1.07 states/eV per atom. For the energy relative to the lowest polymorph listed for this composition, the calculation gives 0.2191 eV/atom.

```
data_Sr2TePb
_chemical_formula_sum 'Sr8 Te4 Pb4'
_cell_length_a 8.2403
_cell_length_b 8.2403
_cell_length_c 8.2403
_cell_angle_alpha 90.00
_cell_angle_beta 90.00
_cell_angle_gamma 90.00
_space_group_name_H-M_alt 'F m -3 m'
_space_group_IT_number 225
_space_group_name_Hall '-F 4 2 3'
loop_
_atom_site_label
_atom_site_fract_x
_atom_site_fract_y
_atom_site_fract_z
Sr1 0.2500 0.2500 0.2500
Te1 0.0000 0.0000 0.0000
Pb1 0.0000 0.0000 0.5000
```

=====

No. 4
Density functional theory data (GGA-PBE) for SrTe2Pb2 after structural relaxation.

Summary:
The value obtained for the uncorrected formation energy is -2.67 eV per formula unit. Its total magnetization is 0.00 μB/cell. The density of states at the Fermi level is 0.02 states/eV per atom. For the energy relative to the lowest polymorph listed for this composition, the calculation gives 0.0360 eV/atom.

```
data_SrTe2Pb2
_chemical_formula_sum 'Sr2 Te4 Pb4'
_cell_length_a 6.2182
_cell_length_b 6.2182
_cell_length_c 9.7126
_cell_angle_alpha 90.00
_cell_angle_beta 90.00
_cell_angle_gamma 90.00
_space_group_name_H-M_alt 'I 4/m m m'
_space_group_IT_number 139
_space_group_name_Hall '-I 4 2'
loop_
_atom_site_label
_atom_site_fract_x
_atom_site_fract_y
_atom_site_fract_z
Sr1 0.0000 0.0000 0.0000
Te1 0.0000 0.5000 0.2500
Pb1 0.0000 0.0000 0.3410
```

=====

No. 5
Density functional theory data (GGA-PBE) for Sr2TePb after structural relaxation.

Summary:
The value obtained for the uncorrected formation energy is -2.97 eV per formula unit. Its total magnetization is 0.00 μB/cell. The density of states at the Fermi level is 0.33 states/eV per atom. For the energy relative to the lowest polymorph listed for this composition, the calculation gives 0.2565 eV/atom.

```
data_Sr2TePb
_chemical_formula_sum 'Sr8 Te4 Pb4'
_cell_length_a 8.9324
_cell_length_b 8.9324
_cell_length_c 7.8103
_cell_angle_alpha 90.00
_cell_angle_beta 90.00
_cell_angle_gamma 90.00
_space_group_name_H-M_alt 'I -4 2 d'
_space_group_IT_number 122
_space_group_name_Hall 'I -4 2bw'
loop_
_atom_site_label
_atom_site_fract_x
_atom_site_fract_y
_atom_site_fract_z
Sr1 0.2367 0.7500 0.1250
Te1 0.0000 0.0000 0.0000
Pb1 0.0000 0.0000 0.5000
```

=====

No. 6
Density functional theory data (GGA-PBE) for SrTePb4 after structural relaxation.

Summary:
The value obtained for the uncorrected formation energy is -1.10 eV per formula unit. Its total magnetization is 0.00 μB/cell. The density of states at the Fermi level is 0.76 states/eV per atom.

```
data_SrTePb4
_chemical_formula_sum 'Sr4 Te4 Pb16'
_cell_length_a 9.2758
_cell_length_b 9.2758
_cell_length_c 9.2758
_cell_angle_alpha 90.00
_cell_angle_beta 90.00
_cell_angle_gamma 90.00
_space_group_name_H-M_alt 'F -4 3 m'
_space_group_IT_number 216
_space_group_name_Hall 'F -4 2 3'
loop_
_atom_site_label
_atom_site_fract_x
_atom_site_fract_y
_atom_site_fract_z
Sr1 0.0000 0.0000 0.0000
Te1 0.2500 0.2500 0.7500
Pb1 0.1255 0.1255 0.3745
```

=====

No. 7
Density functional theory data (GGA-PBE) for SrTePb3 after structural relaxation.

Summary:
The value obtained for the uncorrected formation energy is 0.59 eV per formula unit. Its total magnetization is 0.00 μB/cell. The density of states at the Fermi level is 0.57 states/eV per atom. For the energy relative to the lowest polymorph listed for this composition, the calculation gives 0.0000 eV/atom.

```
data_SrTePb3
_chemical_formula_sum 'Sr1 Te1 Pb3'
_cell_length_a 6.0175
_cell_length_b 6.0175
_cell_length_c 6.0175
_cell_angle_alpha 90.00
_cell_angle_beta 90.00
_cell_angle_gamma 90.00
_space_group_name_H-M_alt 'P m -3 m'
_space_group_IT_number 221
_space_group_name_Hall '-P 4 2 3'
loop_
_atom_site_label
_atom_site_fract_x
_atom_site_fract_y
_atom_site_fract_z
Sr1 0.0000 0.0000 0.0000
Te1 0.5000 0.5000 0.5000
Pb1 0.0000 0.5000 0.5000
```

=====

No. 8
Density functional theory data (GGA-PBE) for SrTePb after structural relaxation.

Summary:
The value obtained for the uncorrected formation energy is -2.06 eV per formula unit. Its total magnetization is 0.00 μB/cell. The density of states at the Fermi level is 0.57 states/eV per atom.

```
data_SrTePb
_chemical_formula_sum 'Sr4 Te4 Pb4'
_cell_length_a 4.1712
_cell_length_b 5.6309
_cell_length_c 19.4441
_cell_angle_alpha 90.00
_cell_angle_beta 90.00
_cell_angle_gamma 90.00
_space_group_name_H-M_alt 'I m m m'
_space_group_IT_number 71
_space_group_name_Hall '-I 2 2'
loop_
_atom_site_label
_atom_site_fract_x
_atom_site_fract_y
_atom_site_fract_z
Sr1 0.0000 0.0000 0.1635
Te1 0.0000 0.0000 0.3318
Pb1 0.0000 0.2527 0.5000
```